[1]
5
Lattice="3.422 0.000 -0.005 0.000 3.895 0.000 -1.689 0.000 7.745" Properties=species:S:1:pos:R:3 comment="TlGaPdPtSe (GGA-PBE, optimized geometry)" density_g_cm3=10.53 formation_energy_uncorrected_mev_per_atom=-272.6 vol_a3_per_atom=20.6 polymorph_energy_mev_per_atom=89 magnetic_moment_mub_per_fu=0.0 pbc="T T T"
Ga -1.004 1.947 4.809
Se 2.412 0.000 2.358
Tl 2.397 1.947 0.059
Pd -1.005 0.000 6.463
Pt 0.704 0.000 4.187

***

[2]
5
Lattice="-1.782 5.050 1.553 -1.796 0.410 -3.393 -3.161 -4.470 1.133" Properties=species:S:1:pos:R:3 comment="TlGaPdPtSe (GGA-PBE, optimized geometry)" density_g_cm3=10.34 formation_energy_uncorrected_mev_per_atom=-362.0 vol_a3_per_atom=21.0 polymorph_energy_mev_per_atom=0 magnetic_moment_mub_per_fu=0.0 pbc="T T T"
Pt -3.646 -0.052 1.924
Pd -1.143 -0.371 0.560
Ga -2.681 3.827 -0.315
Se -3.108 1.229 -0.403
Tl -2.743 -2.574 1.141

***

[3]
10
Lattice="4.134 0.000 0.000 0.000 4.810 0.000 0.000 0.000 12.251" Properties=species:S:1:pos:R:3 comment="TlGaPdPtSe (GGA-PBE, optimized geometry)" density_g_cm3=8.92 formation_energy_uncorrected_mev_per_atom=-198.6 vol_a3_per_atom=24.4 polymorph_energy_mev_per_atom=163 magnetic_moment_mub_per_fu=0.0 pbc="T T T"
Tl 2.067 2.405 2.170
Tl 0.000 0.000 8.296
Ga 2.067 2.405 10.919
Ga 0.000 0.000 4.793
Pd 2.067 0.000 10.115
Pd 0.000 2.405 3.989
Pt 2.067 0.000 6.394
Pt 0.000 2.405 0.269
Se 0.000 0.000 11.759
Se 2.067 2.405 5.634

***

[4]
5
Lattice="5.137 0.000 0.013 0.000 4.117 0.000 -1.756 0.000 5.023" Properties=species:S:1:pos:R:3 comment="TlGaPdPtSe (GGA-PBE, optimized geometry)" density_g_cm3=10.22 formation_energy_uncorrected_mev_per_atom=-233.3 vol_a3_per_atom=21.3 polymorph_energy_mev_per_atom=129 magnetic_moment_mub_per_fu=0.0 pbc="T T T"
Pt 0.615 0.000 2.600
Ga 4.450 2.058 1.977
Tl 2.190 2.058 4.074
Se -0.566 0.000 4.839
Pd 2.014 2.058 1.186

***

[5]
5
Lattice="4.995 0.000 -0.007 0.000 3.906 0.000 -1.945 0.000 5.389" Properties=species:S:1:pos:R:3 comment="TlGaPdPtSe (GGA-PBE, optimized geometry)" density_g_cm3=10.34 formation_energy_uncorrected_mev_per_atom=-252.3 vol_a3_per_atom=21.0 polymorph_energy_mev_per_atom=110 magnetic_moment_mub_per_fu=0.0 pbc="T T T"
Pd -0.303 1.953 1.681
Pt 0.916 0.000 3.338
Tl 1.411 0.000 0.396
Ga 3.424 0.000 2.720
Se 1.958 1.953 4.622

***

[6]
5
Lattice="-1.971 0.552 2.150 -2.843 -0.026 -2.598 0.678 -8.896 2.182" Properties=species:S:1:pos:R:3 comment="TlGaPdPtSe (GGA-PBE, optimized geometry)" density_g_cm3=10.60 formation_energy_uncorrected_mev_per_atom=-239.4 vol_a3_per_atom=20.5 polymorph_energy_mev_per_atom=123 magnetic_moment_mub_per_fu=0.0 pbc="T T T"
Pt -2.457 -8.442 -0.113
Tl -2.686 -4.151 0.099
Ga -1.913 -1.146 -0.760
Pd -1.591 -1.767 1.750
Se -0.826 -6.835 0.942

***

[7]
5
Lattice="-0.352 -0.507 4.516 4.300 -1.564 -0.624 0.035 5.521 -0.942" Properties=species:S:1:pos:R:3 comment="TlGaPdPtSe (GGA-PBE, optimized geometry)" density_g_cm3=10.48 formation_energy_uncorrected_mev_per_atom=-293.4 vol_a3_per_atom=20.7 polymorph_energy_mev_per_atom=69 magnetic_moment_mub_per_fu=0.0 pbc="T T T"
Pd 3.035 0.798 0.780
Ga 1.276 2.464 1.663
Se 2.057 -0.355 2.878
Tl 4.022 3.252 -0.793
Pt 0.312 1.351 3.772

***

[8]
5
Lattice="-2.156 3.586 2.684 1.912 -1.175 3.105 5.294 1.951 -2.523" Properties=species:S:1:pos:R:3 comment="TlGaPdPtSe (GGA-PBE, optimized geometry)" density_g_cm3=9.92 formation_energy_uncorrected_mev_per_atom=-254.0 vol_a3_per_atom=21.9 polymorph_energy_mev_per_atom=108 magnetic_moment_mub_per_fu=0.0 pbc="T T T"
Tl 3.752 2.586 -1.333
Ga 1.965 0.443 1.321
Se 1.876 2.673 2.219
Pt -0.504 3.461 1.620
Pd 3.900 3.851 1.419